DFT (PBE) results for crystalline Zn2CuAu5 at its relaxed geometry.

## Properties
The value obtained for the density of states at the Fermi level is 2.8 states/eV/cell. The formation enthalpy at 0 K is 2.372 kcal/mol of atoms. The calculation puts the volume at 22.817 Å³ per atom. Its relative energy among the computed polymorphs is 0.239 eV/atom.

Cell: 8.379 8.379 11.033 Å, 90.00 90.00 151.88°
Fractional coordinates of all 16 atoms:
1 Zn 0.127 0.873 0.552
2 Zn 0.127 0.873 0.948
3 Zn 0.873 0.127 0.052
4 Zn 0.873 0.127 0.448
5 Cu 0.155 0.845 0.250
6 Cu 0.845 0.155 0.750
7 Au 0.022 0.978 0.125
8 Au 0.022 0.978 0.375
9 Au 0.226 0.774 0.750
10 Au 0.267 0.733 0.082
11 Au 0.267 0.733 0.418
12 Au 0.733 0.267 0.582
13 Au 0.733 0.267 0.918
14 Au 0.774 0.226 0.250
15 Au 0.978 0.022 0.625
16 Au 0.978 0.022 0.875